## La2YTl (meta-GGA SCAN)

Data for La2YTl at its PBEsol-relaxed geometry.

Unit cell a=4.853 b=4.853 c=6.071 alpha=113.56 beta=113.56 gamma=90.00
Sites, in units of the cell vectors:
La 0.000 0.000 0.000
La 0.750 0.250 0.500
Y 0.250 0.750 0.500
Tl 0.500 0.500 0.000

## Properties
final energy = -46.911 eV per atom
symmetry = I-4m2
formation energy = -0.31 eV per atom

## RbTeF5 (meta-GGA SCAN)

Data for RbTeF5 at its PBEsol-relaxed geometry.

Unit cell a=6.183 b=11.408 c=13.825 alpha=90.00 beta=90.00 gamma=90.00
Sites, in units of the cell vectors:
F 0.528 0.158 0.720
F 0.528 0.342 0.220
F 0.529 0.912 0.083
F 0.250 0.981 0.379
F 0.519 0.820 0.529
F 0.019 0.320 0.971
F 0.471 0.412 0.417
F 0.250 0.171 0.051
F 0.971 0.912 0.083
F 0.029 0.412 0.417
F 0.480 0.083 0.255
F 0.028 0.842 0.280
F 0.028 0.658 0.780
F 0.481 0.320 0.971
F 0.250 0.329 0.551
F 0.519 0.680 0.029
F 0.472 0.842 0.280
F 0.029 0.088 0.917
F 0.972 0.342 0.220
F 0.250 0.519 0.879
F 0.981 0.680 0.029
F 0.972 0.158 0.720
F 0.750 0.829 0.949
F 0.471 0.088 0.917
F 0.520 0.917 0.745
F 0.020 0.417 0.755
F 0.019 0.180 0.471
F 0.980 0.917 0.745
F 0.472 0.658 0.780
F 0.750 0.481 0.121
F 0.520 0.583 0.245
F 0.971 0.588 0.583
F 0.980 0.583 0.245
F 0.529 0.588 0.583
F 0.480 0.417 0.755
F 0.981 0.820 0.529
F 0.750 0.671 0.449
F 0.481 0.180 0.471
F 0.020 0.083 0.255
F 0.750 0.019 0.621
Te 0.750 0.785 0.083
Te 0.250 0.540 0.740
Te 0.750 0.040 0.760
Te 0.250 0.215 0.917
Te 0.750 0.715 0.583
Te 0.750 0.460 0.260
Te 0.250 0.960 0.240
Te 0.250 0.285 0.417
Rb 0.250 0.488 0.096
Rb 0.250 0.661 0.402
Rb 0.750 0.512 0.904
Rb 0.250 0.839 0.902
Rb 0.250 0.012 0.596
Rb 0.750 0.988 0.404
Rb 0.750 0.161 0.098
Rb 0.750 0.339 0.598

## Properties
ΔE_f (raw) = -2.524 eV/atom
final energy = -13.337 eV per atom
symmetry = Pnma

## Te2PPtN (meta-GGA SCAN)

Data for Te2PPtN at its PBEsol-relaxed geometry.

Unit cell a=3.627 b=5.429 c=5.429 alpha=90.00 beta=90.00 gamma=90.00
Sites, in units of the cell vectors:
Pt 0.000 0.000 0.000
Te 0.000 0.500 0.000
Te 0.000 0.000 0.500
P 0.500 0.500 0.500
N 0.500 0.000 0.000

## Properties
ΔE_f (raw) = 0.723 eV/atom
final energy = -32.154 eV per atom
symmetry = P4/mmm